Entry 1:
VASP calculation (GGA-PBE) on a relaxed VFeBiI2 crystal.

Cell and atoms, written as CIF:
```
data_VFeBiI2
_chemical_formula_sum 'V1 Fe1 Bi1 I2'
_symmetry_space_group_name_H-M 'P 1'
_symmetry_Int_Tables_number 1
_symmetry_space_group_name_Hall 'P 1'
_cell_length_a 5.2786
_cell_length_b 5.2786
_cell_length_c 4.4649
_cell_angle_alpha 90.00
_cell_angle_beta 90.00
_cell_angle_gamma 90.00
loop_
_atom_site_label
_atom_site_type_symbol
_atom_site_fract_x
_atom_site_fract_y
_atom_site_fract_z
V1 V 0.0000 0.0000 0.0000
Fe1 Fe 0.0000 0.0000 0.5000
Bi1 Bi 0.5000 0.5000 0.0000
I1 I 0.0000 0.5000 0.5000
I2 I 0.5000 0.0000 0.5000
```

Output
Space-group type ... P4/mmm
DOS(E_F) ... 7.9 states/eV/f.u.
Final energy ... -20.0 eV for the cell shown
E_form (uncorrected) ... 0.91 eV per atom


Entry 2:
VASP calculation (GGA-PBE) on a relaxed YFeBiI2 crystal.

Cell and atoms, written as CIF:
```
data_YFeBiI2
_chemical_formula_sum 'Y1 Fe1 Bi1 I2'
_symmetry_space_group_name_H-M 'P 1'
_symmetry_Int_Tables_number 1
_symmetry_space_group_name_Hall 'P 1'
_cell_length_a 6.1920
_cell_length_b 6.1920
_cell_length_c 6.0596
_cell_angle_alpha 90.00
_cell_angle_beta 90.00
_cell_angle_gamma 90.00
loop_
_atom_site_label
_atom_site_type_symbol
_atom_site_fract_x
_atom_site_fract_y
_atom_site_fract_z
Y1 Y 0.0000 0.0000 0.0000
Fe1 Fe 0.5000 0.5000 0.0000
Bi1 Bi 0.0000 0.0000 0.5000
I1 I 0.0000 0.5000 0.5000
I2 I 0.5000 0.0000 0.5000
```

Output
Space-group type ... P4/mmm
DOS(E_F) ... 8.5 states/eV/f.u.
Final energy ... -17.7 eV for the cell shown
E_form (uncorrected) ... 0.85 eV per atom


Entry 3:
VASP calculation (GGA-PBE) on a relaxed In2Fe2Bi crystal.

Cell and atoms, written as CIF:
```
data_In2Fe2Bi
_chemical_formula_sum 'In4 Fe4 Bi2'
_symmetry_space_group_name_H-M 'P 1'
_symmetry_Int_Tables_number 1
_symmetry_space_group_name_Hall 'P 1'
_cell_length_a 6.7843
_cell_length_b 6.7843
_cell_length_c 4.0490
_cell_angle_alpha 90.00
_cell_angle_beta 90.00
_cell_angle_gamma 90.00
loop_
_atom_site_label
_atom_site_type_symbol
_atom_site_fract_x
_atom_site_fract_y
_atom_site_fract_z
In1 In 0.1579 0.3421 0.0000
In2 In 0.3421 0.8421 0.0000
In3 In 0.6579 0.1579 0.0000
In4 In 0.8421 0.6579 0.0000
Fe1 Fe 0.1312 0.6312 0.5000
Fe2 Fe 0.3688 0.1312 0.5000
Fe3 Fe 0.6312 0.8688 0.5000
Fe4 Fe 0.8688 0.3688 0.5000
Bi1 Bi 0.0000 0.0000 0.5000
Bi2 Bi 0.5000 0.5000 0.5000
```

Output
Space-group type ... P4/mbm
DOS(E_F) ... 10.3 states/eV/f.u.
Final energy ... -47.4 eV for the cell shown
ΔE_f ... 521 meV/atom


Entry 4:
VASP calculation (GGA-PBE) on a relaxed InFeBi3 crystal.

Cell and atoms, written as CIF:
```
data_InFeBi3
_chemical_formula_sum 'In1 Fe1 Bi3'
_symmetry_space_group_name_H-M 'P 1'
_symmetry_Int_Tables_number 1
_symmetry_space_group_name_Hall 'P 1'
_cell_length_a 5.1930
_cell_length_b 5.1930
_cell_length_c 5.1930
_cell_angle_alpha 90.00
_cell_angle_beta 90.00
_cell_angle_gamma 90.00
loop_
_atom_site_label
_atom_site_type_symbol
_atom_site_fract_x
_atom_site_fract_y
_atom_site_fract_z
In1 In 0.0000 0.0000 0.0000
Fe1 Fe 0.5000 0.5000 0.5000
Bi1 Bi 0.0000 0.5000 0.5000
Bi2 Bi 0.5000 0.0000 0.5000
Bi3 Bi 0.5000 0.5000 0.0000
```

Output
Space-group type ... Pm-3m
DOS(E_F) ... 4.2 states/eV/f.u.
Final energy ... -20.7 eV for the cell shown
E above lowest polymorph ... 0.000 eV/atom
ΔE_f ... 425 meV/atom


Entry 5:
VASP calculation (GGA-PBE) on a relaxed InFeBi2 crystal.

Cell and atoms, written as CIF:
```
data_InFeBi2
_chemical_formula_sum 'In4 Fe4 Bi8'
_symmetry_space_group_name_H-M 'P 1'
_symmetry_Int_Tables_number 1
_symmetry_space_group_name_Hall 'P 1'
_cell_length_a 6.2640
_cell_length_b 6.2640
_cell_length_c 13.8397
_cell_angle_alpha 90.00
_cell_angle_beta 90.00
_cell_angle_gamma 90.00
loop_
_atom_site_label
_atom_site_type_symbol
_atom_site_fract_x
_atom_site_fract_y
_atom_site_fract_z
In1 In 0.0000 0.0000 0.0000
In2 In 0.0000 0.5000 0.2500
In3 In 0.5000 0.0000 0.7500
In4 In 0.5000 0.5000 0.5000
Fe1 Fe 0.0000 0.0000 0.5000
Fe2 Fe 0.0000 0.5000 0.7500
Fe3 Fe 0.5000 0.0000 0.2500
Fe4 Fe 0.5000 0.5000 0.0000
Bi1 Bi 0.1882 0.2500 0.6250
Bi2 Bi 0.2500 0.6882 0.8750
Bi3 Bi 0.2500 0.8118 0.3750
Bi4 Bi 0.3118 0.2500 0.1250
Bi5 Bi 0.6882 0.7500 0.1250
Bi6 Bi 0.7500 0.1882 0.3750
Bi7 Bi 0.7500 0.3118 0.8750
Bi8 Bi 0.8118 0.7500 0.6250
```

Output
Space-group type ... I-42d
DOS(E_F) ... 5.1 states/eV/f.u.
Final energy ... -68.5 eV for the cell shown
ΔE_f ... 458 meV/atom


Entry 6:
VASP calculation (GGA-PBE) on a relaxed InFe3Bi crystal.

Cell and atoms, written as CIF:
```
data_InFe3Bi
_chemical_formula_sum 'In1 Fe3 Bi1'
_symmetry_space_group_name_H-M 'P 1'
_symmetry_Int_Tables_number 1
_symmetry_space_group_name_Hall 'P 1'
_cell_length_a 4.8056
_cell_length_b 4.8056
_cell_length_c 4.8056
_cell_angle_alpha 90.00
_cell_angle_beta 90.00
_cell_angle_gamma 90.00
loop_
_atom_site_label
_atom_site_type_symbol
_atom_site_fract_x
_atom_site_fract_y
_atom_site_fract_z
In1 In 0.0000 0.0000 0.0000
Fe1 Fe 0.0000 0.0000 0.5000
Fe2 Fe 0.0000 0.5000 0.0000
Fe3 Fe 0.5000 0.0000 0.0000
Bi1 Bi 0.5000 0.5000 0.5000
```

Output
Space-group type ... Pm-3m
DOS(E_F) ... 7.1 states/eV/f.u.
Final energy ... -25.5 eV for the cell shown
E above lowest polymorph ... 0.000 eV/atom
ΔE_f ... 1302 meV/atom


Entry 7:
VASP calculation (GGA-PBE) on a relaxed InFeBi2 crystal.

Cell and atoms, written as CIF:
```
data_InFeBi2
_chemical_formula_sum 'In3 Fe3 Bi6'
_symmetry_space_group_name_H-M 'P 1'
_symmetry_Int_Tables_number 1
_symmetry_space_group_name_Hall 'P 1'
_cell_length_a 3.3434
_cell_length_b 3.3434
_cell_length_c 34.9685
_cell_angle_alpha 90.00
_cell_angle_beta 90.00
_cell_angle_gamma 120.00
loop_
_atom_site_label
_atom_site_type_symbol
_atom_site_fract_x
_atom_site_fract_y
_atom_site_fract_z
In1 In 0.0000 0.0000 0.0000
In2 In 0.3333 0.6667 0.6667
In3 In 0.6667 0.3333 0.3333
Fe1 Fe 0.0000 0.0000 0.5000
Fe2 Fe 0.3333 0.6667 0.1667
Fe3 Fe 0.6667 0.3333 0.8333
Bi1 Bi 0.0000 0.0000 0.4216
Bi2 Bi 0.0000 0.0000 0.5784
Bi3 Bi 0.3333 0.6667 0.0882
Bi4 Bi 0.3333 0.6667 0.2451
Bi5 Bi 0.6667 0.3333 0.7549
Bi6 Bi 0.6667 0.3333 0.9118
```

Output
Space-group type ... R-3m
DOS(E_F) ... 5.2 states/eV/f.u.
Final energy ... -49.9 eV for the cell shown
ΔE_f ... 583 meV/atom


Entry 8:
VASP calculation (GGA-PBE) on a relaxed InFe2Bi crystal.

Cell and atoms, written as CIF:
```
data_InFe2Bi
_chemical_formula_sum 'In4 Fe8 Bi4'
_symmetry_space_group_name_H-M 'P 1'
_symmetry_Int_Tables_number 1
_symmetry_space_group_name_Hall 'P 1'
_cell_length_a 7.4204
_cell_length_b 7.4204
_cell_length_c 6.0774
_cell_angle_alpha 90.00
_cell_angle_beta 90.00
_cell_angle_gamma 90.00
loop_
_atom_site_label
_atom_site_type_symbol
_atom_site_fract_x
_atom_site_fract_y
_atom_site_fract_z
In1 In 0.0000 0.0000 0.0000
In2 In 0.0000 0.5000 0.2500
In3 In 0.5000 0.0000 0.7500
In4 In 0.5000 0.5000 0.5000
Fe1 Fe 0.2467 0.2500 0.1250
Fe2 Fe 0.2500 0.7467 0.3750
Fe3 Fe 0.2500 0.7533 0.8750
Fe4 Fe 0.2533 0.2500 0.6250
Fe5 Fe 0.7467 0.7500 0.6250
Fe6 Fe 0.7500 0.2467 0.8750
Fe7 Fe 0.7500 0.2533 0.3750
Fe8 Fe 0.7533 0.7500 0.1250
Bi1 Bi 0.0000 0.0000 0.5000
Bi2 Bi 0.0000 0.5000 0.7500
Bi3 Bi 0.5000 0.0000 0.2500
Bi4 Bi 0.5000 0.5000 0.0000
```

Output
Space-group type ... I-42d
DOS(E_F) ... 6.0 states/eV/f.u.
Final energy ... -81.8 eV for the cell shown
E above lowest polymorph ... 0.132 eV/atom
ΔE_f ... 774 meV/atom


Entry 9:
VASP calculation (GGA-PBE) on a relaxed InFe2Bi crystal.

Cell and atoms, written as CIF:
```
data_InFe2Bi
_chemical_formula_sum 'In4 Fe8 Bi4'
_symmetry_space_group_name_H-M 'P 1'
_symmetry_Int_Tables_number 1
_symmetry_space_group_name_Hall 'P 1'
_cell_length_a 6.4109
_cell_length_b 6.4109
_cell_length_c 6.4109
_cell_angle_alpha 90.00
_cell_angle_beta 90.00
_cell_angle_gamma 90.00
loop_
_atom_site_label
_atom_site_type_symbol
_atom_site_fract_x
_atom_site_fract_y
_atom_site_fract_z
In1 In 0.0000 0.0000 0.0000
In2 In 0.0000 0.5000 0.5000
In3 In 0.5000 0.0000 0.5000
In4 In 0.5000 0.5000 0.0000
Fe1 Fe 0.2500 0.2500 0.2500
Fe2 Fe 0.2500 0.2500 0.7500
Fe3 Fe 0.2500 0.7500 0.2500
Fe4 Fe 0.2500 0.7500 0.7500
Fe5 Fe 0.7500 0.2500 0.2500
Fe6 Fe 0.7500 0.2500 0.7500
Fe7 Fe 0.7500 0.7500 0.2500
Fe8 Fe 0.7500 0.7500 0.7500
Bi1 Bi 0.0000 0.0000 0.5000
Bi2 Bi 0.0000 0.5000 0.0000
Bi3 Bi 0.5000 0.0000 0.0000
Bi4 Bi 0.5000 0.5000 0.5000
```

Output
Space-group type ... Fm-3m
DOS(E_F) ... 1.7 states/eV/f.u.
Final energy ... -83.9 eV for the cell shown
E above lowest polymorph ... 0.000 eV/atom
ΔE_f ... 642 meV/atom


Entry 10:
VASP calculation (GGA-PBE) on a relaxed MgIn2FeBi crystal.

Cell and atoms, written as CIF:
```
data_MgIn2FeBi
_chemical_formula_sum 'Mg1 In2 Fe1 Bi1'
_symmetry_space_group_name_H-M 'P 1'
_symmetry_Int_Tables_number 1
_symmetry_space_group_name_Hall 'P 1'
_cell_length_a 6.0112
_cell_length_b 6.0112
_cell_length_c 4.9511
_cell_angle_alpha 90.00
_cell_angle_beta 90.00
_cell_angle_gamma 90.00
loop_
_atom_site_label
_atom_site_type_symbol
_atom_site_fract_x
_atom_site_fract_y
_atom_site_fract_z
Mg1 Mg 0.0000 0.0000 0.0000
In1 In 0.0000 0.5000 0.5000
In2 In 0.5000 0.0000 0.5000
Fe1 Fe 0.5000 0.5000 0.0000
Bi1 Bi 0.5000 0.5000 0.5000
```

Output
Space-group type ... P4/mmm
DOS(E_F) ... 5.8 states/eV/f.u.
Final energy ... -14.9 eV for the cell shown
ΔE_f ... 895 meV/atom


Look up the final energy of the ninth one.
-83.9 eV for the cell shown